A relaxed Na2FeSnO4 crystal, computed with PBE with a Hubbard U.

POSCAR file:
```
Na2FeSnO4
1.0
5.574 0.000 0.000
0.000 3.197 0.000
-1.913 0.000 5.453
Na Fe Sn O
2 1 1 4
direct
0.000 0.000 0.000
0.500 0.500 0.000
0.000 0.500 0.500
0.500 0.000 0.500
0.247 0.000 0.697
0.275 0.500 0.284
0.725 0.500 0.716
0.753 0.000 0.303
```

## Properties
- spin magnetization (μB per atom) = 0.50
- symmetry = P2/m, No. 10
- VASP energy (eV/cell) = -45.201